## i
Below is crystalline TlCoRe2 at its relaxed geometry, with properties calculated at the PBEsol level. Values from VASP.

```
&SYSTEM
  ibrav = 0, nat = 4, ntyp = 3
/
ATOMIC_SPECIES
Re 186.21 Re.upf
Tl 204.38 Tl.upf
Co 58.93 Co.upf
ATOMIC_POSITIONS angstrom
Re -0.0008 -0.0114 0.0348
Re -2.3909 -0.3499 1.0537
Tl -0.0667 -0.9226 2.8246
Co -2.4641 -1.3628 4.1548
CELL_PARAMETERS angstrom
-1.6984 2.1640 0.6667
-3.0311 -2.1414 -0.7710
-0.1287 -1.7795 5.4482
```

---

## ii
Below is crystalline TlCoRe2 at its relaxed geometry, with properties calculated at the PBEsol level. Values from VASP.

```
&SYSTEM
  ibrav = 0, nat = 4, ntyp = 3
/
ATOMIC_SPECIES
Re 186.21 Re.upf
Tl 204.38 Tl.upf
Co 58.93 Co.upf
ATOMIC_POSITIONS angstrom
Re 0.0000 0.0000 7.3966
Re 1.4213 1.4213 1.6321
Tl 0.0000 0.0000 3.8714
Co 1.4213 1.4213 5.7965
CELL_PARAMETERS angstrom
2.8425 0.0000 0.0000
0.0000 2.8425 0.0000
0.0000 0.0000 7.4786
```

---

Referenced to the most stable arrangement, the calculated values in eV/atom are i 0.101; ii 0.000.

---

## i
Below is crystalline Tl2CoRe at its relaxed geometry, with properties calculated at the PBEsol level. Values from VASP.

```
&SYSTEM
  ibrav = 0, nat = 4, ntyp = 3
/
ATOMIC_SPECIES
Re 186.21 Re.upf
Tl 204.38 Tl.upf
Co 58.93 Co.upf
ATOMIC_POSITIONS angstrom
Re 0.0000 1.9809 2.2168
Tl 0.0000 0.0000 0.0000
Tl 1.9809 0.0000 2.2168
Co 1.9809 1.9809 0.0000
CELL_PARAMETERS angstrom
3.9619 0.0000 0.0000
0.0000 3.9619 0.0000
-1.9809 -1.9809 4.4336
```

---

## ii
Below is crystalline Tl2CoRe at its relaxed geometry, with properties calculated at the PBEsol level. Values from VASP.

```
&SYSTEM
  ibrav = 0, nat = 4, ntyp = 3
/
ATOMIC_SPECIES
Re 186.21 Re.upf
Tl 204.38 Tl.upf
Co 58.93 Co.upf
ATOMIC_POSITIONS angstrom
Re 0.7803 1.3146 0.0000
Tl 0.0000 0.0000 2.3812
Tl 0.0000 0.0000 6.5730
Co 0.7803 1.3146 4.4771
CELL_PARAMETERS angstrom
2.9705 0.0146 0.0000
-1.4100 2.6146 0.0000
0.0000 0.0000 8.9541
```

---

Referenced to the most stable arrangement, the calculated values in eV/atom are i 0.098; ii 0.000.

---

## i
Below is crystalline Co2ReW at its relaxed geometry, with properties calculated at the PBEsol level. Values from VASP.

```
&SYSTEM
  ibrav = 0, nat = 4, ntyp = 3
/
ATOMIC_SPECIES
Re 186.21 Re.upf
Co 58.93 Co.upf
W 183.84 W.upf
ATOMIC_POSITIONS angstrom
Re 0.0000 0.0000 0.0000
Co -1.5035 1.2292 1.7449
Co 1.1011 1.4182 1.9029
W -0.0784 -0.8392 2.4768
CELL_PARAMETERS angstrom
-0.3240 3.4865 1.1710
-2.6830 -1.0281 2.3187
4.0297 -1.8794 0.8900
```

---

## ii
Below is crystalline Co2ReW at its relaxed geometry, with properties calculated at the PBEsol level. Values from VASP.

```
&SYSTEM
  ibrav = 0, nat = 4, ntyp = 3
/
ATOMIC_SPECIES
Re 186.21 Re.upf
Co 58.93 Co.upf
W 183.84 W.upf
ATOMIC_POSITIONS angstrom
Re 1.3084 0.0000 2.5240
Co 0.0000 0.0000 0.1683
Co 0.0000 2.0956 3.1995
W 1.3084 2.0956 0.8930
CELL_PARAMETERS angstrom
2.6168 0.0000 0.0000
0.0000 4.1911 0.0000
0.0000 0.0000 4.5231
```

---

Referenced to the most stable arrangement, the calculated values in eV/atom are i 0.158; ii 0.000.